Version w
DFT (PBE) results for a relaxed InTeBr2 crystal.

abc: 4.4352 4.4352 24.5455
angles: 90.00 90.00 120.00
Last column: nearest neighbours and their distance in Å.
Space group R3m (No. 160, hexagonal axes)
One atom of each set of equivalent atoms:
In 0.0000 0.0000 0.0000 (multiplicity 3)  3 Te 2.90, 3 Br 3.05
Te 0.0000 0.0000 0.7225 (multiplicity 3)  3 In 2.90, 3 Br 3.22
Br 0.0000 0.0000 0.2659 (multiplicity 3)  3 In 3.05
Br 0.0000 0.0000 0.4684 (multiplicity 3)  3 Te 3.22


Version x
DFT (PBE) results for a relaxed InTeBr2 crystal.

abc: 3.7456 4.8040 6.8570
angles: 90.00 90.00 90.00
Last column: nearest neighbours and their distance in Å.
Space group Pmmm (No. 47)
One atom of each set of equivalent atoms:
In 0.0000 0.0000 0.0000 (multiplicity 1)  4 Br 3.05
Te 0.5000 0.0000 0.5000 (multiplicity 1)  4 Br 3.05
Br 0.0000 0.5000 0.5000 (multiplicity 1)  4 Te 3.05
Br 0.5000 0.5000 0.0000 (multiplicity 1)  4 In 3.05


Most stable structure, least stable structure: version w, version x.


Version w
DFT (PBE) results for a relaxed InTeBr2 crystal.

abc: 3.9842 4.5328 15.6049
angles: 90.00 90.00 90.00
Last column: nearest neighbours and their distance in Å.
Space group Imm2 (No. 44)
One atom of each set of equivalent atoms:
In 0.0000 0.0000 0.0000 (multiplicity 2)  4 Br 3.16, 2 Te 3.25
Te 0.0000 0.5000 0.6648 (multiplicity 2)  4 Br 3.03, 2 In 3.25
Br 0.0000 0.0000 0.4388 (multiplicity 2)  4 In 3.16
Br 0.0000 0.5000 0.1822 (multiplicity 2)  4 Te 3.03


Version x
DFT (PBE) results for a relaxed InTeBr2 crystal.

abc: 8.0437 8.0864 3.5832
angles: 90.00 90.00 90.00
Last column: nearest neighbours and their distance in Å.
Space group Cmmm (No. 65)
One atom of each set of equivalent atoms:
In 0.0000 0.0000 0.0000 (multiplicity 2)  8 Br 3.37, 2 In 3.58
Te 0.0000 0.5000 0.0000 (multiplicity 2)  8 Br 3.37, 2 Te 3.58
Br 0.2500 0.2500 0.5000 (multiplicity 4)  4 In 3.37, 4 Te 3.37, 2 Br 3.58


Version y
DFT (PBE) results for a relaxed InTeBr2 crystal.

abc: 3.5860 6.8954 9.9045
angles: 90.00 90.00 90.00
Last column: nearest neighbours and their distance in Å.
Space group Immm (No. 71)
One atom of each set of equivalent atoms:
In 0.0000 0.0000 0.0000 (multiplicity 2)  4 Br 3.09
Te 0.0000 0.0000 0.5000 (multiplicity 2)  4 Br 3.03
Br 0.0000 0.5000 0.2463 (multiplicity 4)  2 Te 3.03, 2 In 3.09


Most stable structure, least stable structure: version w, version x.


Version w
DFT (PBE) results for a relaxed InTeBr3 crystal.

abc: 7.8125 7.8125 6.9213
angles: 90.00 90.00 120.00
Last column: nearest neighbours and their distance in Å.
Space group P6_3/mmc (No. 194)
One atom of each set of equivalent atoms:
In 0.0000 0.0000 0.0000 (multiplicity 2)  6 Br 2.75
Te 0.3333 0.6667 0.2500 (multiplicity 2)  12 Br 3.91-4.19
Br 0.1581 0.3162 0.7500 (multiplicity 6)  2 In 2.75


Version x
DFT (PBE) results for a relaxed InTeBr3 crystal.

abc: 5.7914 5.7914 5.7914
angles: 90.00 90.00 90.00
Last column: nearest neighbours and their distance in Å.
Space group Pm-3m (No. 221)
One atom of each set of equivalent atoms:
In 0.0000 0.0000 0.0000 (multiplicity 1)  12 Br 4.10
Te 0.5000 0.5000 0.5000 (multiplicity 1)  6 Br 2.90
Br 0.0000 0.5000 0.5000 (multiplicity 3)  2 Te 2.90


Most stable structure, least stable structure: version x, version w.


Version w
DFT (PBE) results for a relaxed ThIn2Br6 crystal.

abc: 7.8391 8.3623 13.0501
angles: 90.00 120.05 90.00
Last column: nearest neighbours and their distance in Å.
Space group P2_1/c (No. 14)
One atom of each set of equivalent atoms:
Th 0.0000 0.0000 0.0000 (multiplicity 2)  6 Br 2.85-2.87
In 0.3227 0.0955 0.7835 (multiplicity 4)  7 Br 3.32-3.71
Br 0.0831 0.0589 0.2359 (multiplicity 4)  1 Th 2.85
Br 0.2415 0.7215 0.0787 (multiplicity 4)  1 Th 2.85
Br 0.3428 0.1797 0.0450 (multiplicity 4)  1 Th 2.87


Version x
DFT (PBE) results for a relaxed ThIn2Br6 crystal.

abc: 9.0916 14.8047 9.1708
angles: 90.00 93.48 90.00
Last column: nearest neighbours and their distance in Å.
Space group C2/c (No. 15)
One atom of each set of equivalent atoms:
Th 0.0000 0.0578 0.2500 (multiplicity 4)  8 Br 2.90-3.11
In 0.0285 0.3478 0.4939 (multiplicity 8)  3 Br 3.16-3.50
Br 0.0238 0.1134 0.9457 (multiplicity 8)  2 Th 2.93-3.11
Br 0.1966 0.2227 0.2799 (multiplicity 8)  1 Th 3.03, 2 In 3.16-3.32
Br 0.1977 0.4953 0.2570 (multiplicity 8)  1 Th 2.90


Most stable structure, least stable structure: version w, version x.


Version w
DFT (PBE) results for a relaxed TiIn3Br crystal.

abc: 5.5585 5.5585 5.5585
angles: 90.00 90.00 90.00
Last column: nearest neighbours and their distance in Å.
Space group Pm-3m (No. 221)
One atom of each set of equivalent atoms:
Ti 0.0000 0.0000 0.0000 (multiplicity 1)  6 In 2.78
In 0.0000 0.0000 0.5000 (multiplicity 3)  2 Ti 2.78
Br 0.5000 0.5000 0.5000 (multiplicity 1)  12 In 3.93


Version x
DFT (PBE) results for a relaxed TiIn3Br crystal.

abc: 5.5487 5.5487 5.5487
angles: 90.00 90.00 90.00
Last column: nearest neighbours and their distance in Å.
Space group Pm-3m (No. 221)
One atom of each set of equivalent atoms:
Ti 0.0000 0.0000 0.0000 (multiplicity 1)  12 In 3.92
In 0.0000 0.5000 0.5000 (multiplicity 3)  2 Br 2.77
Br 0.5000 0.5000 0.5000 (multiplicity 1)  6 In 2.77


Most stable structure, least stable structure: version w, version x.


Version w
DFT (PBE) results for a relaxed TiIn2Br crystal.

abc: 7.3961 7.3961 7.3961
angles: 90.00 90.00 90.00
Last column: nearest neighbours and their distance in Å.
Space group Fm-3m (No. 225)
One atom of each set of equivalent atoms:
Ti 0.0000 0.0000 0.0000 (multiplicity 4)  8 In 3.20
In 0.2500 0.2500 0.2500 (multiplicity 8)  4 Br 3.20, 4 Ti 3.20
Br 0.0000 0.0000 0.5000 (multiplicity 4)  8 In 3.20


Version x
DFT (PBE) results for a relaxed TiIn2Br crystal.

abc: 9.7046 9.7046 5.0244
angles: 90.00 90.00 90.00
Last column: nearest neighbours and their distance in Å.
Space group I-42d (No. 122)
One atom of each set of equivalent atoms:
Ti 0.0000 0.0000 0.0000 (multiplicity 4)  2 Br 2.51
In 0.1558 0.2500 0.1250 (multiplicity 8)  2 Ti 2.93, 2 In 3.11
Br 0.0000 0.0000 0.5000 (multiplicity 4)  2 Ti 2.51


Most stable structure, least stable structure: version x, version w.


Version w
DFT (PBE) results for a relaxed Ti3InBr crystal.

abc: 4.6936 4.6936 4.6936
angles: 90.00 90.00 90.00
Last column: nearest neighbours and their distance in Å.
Space group Pm-3m (No. 221)
One atom of each set of equivalent atoms:
Ti 0.0000 0.0000 0.5000 (multiplicity 3)  2 Br 2.35
In 0.5000 0.5000 0.5000 (multiplicity 1)  12 Ti 3.32
Br 0.0000 0.0000 0.0000 (multiplicity 1)  6 Ti 2.35


Version x
DFT (PBE) results for a relaxed Ti3InBr crystal.

abc: 5.2322 5.2322 5.2322
angles: 90.00 90.00 90.00
Last column: nearest neighbours and their distance in Å.
Space group Pm-3m (No. 221)
One atom of each set of equivalent atoms:
Ti 0.0000 0.0000 0.5000 (multiplicity 3)  2 In 2.62
In 0.0000 0.0000 0.0000 (multiplicity 1)  6 Ti 2.62
Br 0.5000 0.5000 0.5000 (multiplicity 1)  12 Ti 3.70


Most stable structure, least stable structure: version w, version x.


Version w
DFT (PBE) results for a relaxed Tl3InBr crystal.

abc: 6.0523 6.0523 6.0523
angles: 90.00 90.00 90.00
Last column: nearest neighbours and their distance in Å.
Space group Pm-3m (No. 221)
One atom of each set of equivalent atoms:
Tl 0.0000 0.0000 0.5000 (multiplicity 3)  2 Br 3.03
In 0.5000 0.5000 0.5000 (multiplicity 1)  12 Tl 4.28
Br 0.0000 0.0000 0.0000 (multiplicity 1)  6 Tl 3.03


Version x
DFT (PBE) results for a relaxed Tl3InBr crystal.

abc: 5.8858 5.8858 5.8858
angles: 90.00 90.00 90.00
Last column: nearest neighbours and their distance in Å.
Space group Pm-3m (No. 221)
One atom of each set of equivalent atoms:
Tl 0.0000 0.0000 0.5000 (multiplicity 3)  2 In 2.94
In 0.0000 0.0000 0.0000 (multiplicity 1)  6 Tl 2.94
Br 0.5000 0.5000 0.5000 (multiplicity 1)  12 Tl 4.16


Most stable structure, least stable structure: version x, version w.


Version w
DFT (PBE) results for a relaxed TlIn3Br crystal.

abc: 5.9369 5.9369 5.9369
angles: 90.00 90.00 90.00
Last column: nearest neighbours and their distance in Å.
Space group Pm-3m (No. 221)
One atom of each set of equivalent atoms:
Tl 0.0000 0.0000 0.0000 (multiplicity 1)  12 In 4.20
In 0.0000 0.5000 0.5000 (multiplicity 3)  2 Br 2.97
Br 0.5000 0.5000 0.5000 (multiplicity 1)  6 In 2.97


Version x
DFT (PBE) results for a relaxed TlIn3Br crystal.

abc: 5.8460 5.8460 5.8460
angles: 90.00 90.00 90.00
Last column: nearest neighbours and their distance in Å.
Space group Pm-3m (No. 221)
One atom of each set of equivalent atoms:
Tl 0.0000 0.0000 0.0000 (multiplicity 1)  6 In 2.92
In 0.0000 0.0000 0.5000 (multiplicity 3)  2 Tl 2.92
Br 0.5000 0.5000 0.5000 (multiplicity 1)  12 In 4.13


Most stable structure, least stable structure: version x, version w.


Version w
DFT (PBE) results for a relaxed Tl3In2Br8 crystal.

abc: 15.4954 9.2837 8.1570
angles: 90.00 110.51 90.00
Last column: nearest neighbours and their distance in Å.
Space group C2/m (No. 12)
One atom of each set of equivalent atoms:
Tl 0.0000 0.0000 0.0000 (multiplicity 2)  6 Br 3.36-3.39
Tl 0.0000 0.2769 0.5000 (multiplicity 4)  6 Br 3.33-3.39
In 0.1888 0.5000 0.1400 (multiplicity 4)  4 Br 2.63-2.68
Br 0.1266 0.0000 0.7349 (multiplicity 4)  1 In 2.68
Br 0.1296 0.2651 0.2467 (multiplicity 8)  1 In 2.63
Br 0.1379 0.5000 0.7968 (multiplicity 4)  1 In 2.63


Version x
DFT (PBE) results for a relaxed Tl3In2Br8 crystal.

abc: 8.0456 8.0456 27.6765
angles: 90.00 90.00 120.00
Last column: nearest neighbours and their distance in Å.
Space group R-3m (No. 166, hexagonal axes)
One atom of each set of equivalent atoms:
Tl 0.0000 0.0000 0.0000 (multiplicity 3)  6 Br 3.54
Tl 0.0000 0.0000 0.1956 (multiplicity 6)  4 Br 3.16-3.37
In 0.0000 0.0000 0.4044 (multiplicity 6)  4 Br 2.61-2.64
Br 0.0000 0.0000 0.3099 (multiplicity 6)  1 In 2.61
Br 0.0253 0.5127 0.7683 (multiplicity 18)  1 In 2.64


Most stable structure, least stable structure: version w, version x.


Version w
DFT (PBE) results for a relaxed Tl2In2Br crystal.

abc: 8.4846 8.4846 4.3543
angles: 90.00 90.00 90.00
Last column: nearest neighbours and their distance in Å.
Space group P4/mbm (No. 127)
One atom of each set of equivalent atoms:
Tl 0.1648 0.3352 0.0000 (multiplicity 4)  6 In 3.19-3.39
In 0.1405 0.6405 0.5000 (multiplicity 4)  6 Tl 3.19-3.39, 2 Br 3.27, 1 In 3.37
Br 0.0000 0.0000 0.5000 (multiplicity 2)  4 In 3.27


Version x
DFT (PBE) results for a relaxed Tl2In2Br crystal.

abc: 8.8916 8.8916 4.0346
angles: 90.00 90.00 90.00
Last column: nearest neighbours and their distance in Å.
Space group P4/mbm (No. 127)
One atom of each set of equivalent atoms:
Tl 0.1789 0.3211 0.0000 (multiplicity 4)  6 In 3.19-3.40, 2 Br 3.27
In 0.1247 0.6247 0.5000 (multiplicity 4)  1 In 3.14, 6 Tl 3.19-3.40
Br 0.0000 0.0000 0.0000 (multiplicity 2)  4 Tl 3.27


Most stable structure, least stable structure: version w, version x.


Version w
DFT (PBE) results for a relaxed Tl2InBr4 crystal.

abc: 15.6591 4.3506 8.7896
angles: 90.00 119.09 90.00
Last column: nearest neighbours and their distance in Å.
Space group C2/m (No. 12)
One atom of each set of equivalent atoms:
Tl 0.1992 0.0000 0.1846 (multiplicity 4)  6 Br 3.23-3.46
In 0.0000 0.5000 0.5000 (multiplicity 2)  6 Br 2.88-3.00
Br 0.1047 0.5000 0.8745 (multiplicity 4)  1 In 2.88
Br 0.1347 0.0000 0.5095 (multiplicity 4)  2 In 3.00


Version x
DFT (PBE) results for a relaxed Tl2InBr4 crystal.

abc: 5.6482 5.6482 16.7147
angles: 90.00 90.00 90.00
Last column: nearest neighbours and their distance in Å.
Space group I4/mmm (No. 139)
One atom of each set of equivalent atoms:
Tl 0.0000 0.0000 0.1405 (multiplicity 4)  1 Br 3.10
In 0.0000 0.0000 0.5000 (multiplicity 2)  6 Br 2.82-2.91
Br 0.0000 0.0000 0.3262 (multiplicity 4)  1 In 2.91, 1 Tl 3.10
Br 0.0000 0.5000 0.0000 (multiplicity 4)  2 In 2.82


Most stable structure, least stable structure: version x, version w.